1.
BeTlIr2 at its PBEsol-relaxed geometry. Source: Alexandria via LeMat-Bulk, functional SCAN.

E_form: 0.39 eV per formula unit
Total magnetic moment: 0.00 μB per formula unit

abc: 2.8485 3.1918 7.0331
angles: 103.12 101.68 90.00
Closest atoms and distances in Å follow each position.
Fractional positions:
1 Be 0.7951 0.2951 0.5902  6 Ir 2.24-2.28
2 Ir 0.2360 0.7360 0.4721  4 Be 2.28
3 Ir 0.9125 0.9125 0.8251  2 Be 2.24
4 Tl 0.5563 0.5563 0.1127  6 Ir 2.80-2.88, 2 Tl 2.85

2.
BeAgW2 at its PBEsol-relaxed geometry. Source: Alexandria via LeMat-Bulk, functional SCAN.

E_form: 1.62 eV per formula unit
Total magnetic moment: 0.00 μB per formula unit

abc: 2.7051 4.1176 5.2736
angles: 90.00 99.25 90.00
Closest atoms and distances in Å follow each position.
Fractional positions:
1 W 0.7535 0.5000 0.2374  1 Be 2.50, 4 W 2.60-2.71
2 Be 0.4166 0.5000 0.7671  2 Ag 2.44, 5 W 2.50-2.71, 2 Be 2.71
3 Ag 0.3397 0.0000 0.5142  2 Be 2.44, 2 Ag 2.71
4 W 0.9902 0.0000 0.9813  4 W 2.60-2.71, 4 Be 2.70-2.71, 3 Ag 2.78-2.82

3.
SrNi2Rh at its PBEsol-relaxed geometry. Source: Alexandria via LeMat-Bulk, functional SCAN.

E_form: 1.97 eV per formula unit
Excess energy over the best structure of this formula in the dataset: 0.586 eV/atom
Total magnetic moment: 1.55 μB per formula unit

abc: 4.0271 4.0271 4.7853
angles: 114.88 114.88 90.00
Closest atoms and distances in Å follow each position.
Fractional positions:
1 Sr 0.2500 0.7500 0.5000  4 Rh 2.78, 8 Ni 2.78-2.85
2 Ni 0.7500 0.2500 0.5000  4 Rh 2.78, 4 Ni 2.78, 4 Sr 2.85
3 Rh 0.5000 0.5000 0.0000  8 Ni 2.78-2.85, 4 Sr 2.78
4 Ni 0.0000 0.0000 0.0000  4 Ni 2.78, 4 Sr 2.78, 4 Rh 2.85

4.
YSe at its PBEsol-relaxed geometry. Source: Alexandria via LeMat-Bulk, functional SCAN.

Final energy: -25.50 eV per atom
Total magnetic moment: 0.44 μB per formula unit

abc: 3.9416 3.9416 6.9944
angles: 106.37 106.37 90.00
Closest atoms and distances in Å follow each position.
Fractional positions:
1 Se 0.2500 0.7500 0.5000  4 Y 2.79
2 Y 0.7500 0.2500 0.5000  4 Se 2.79
3 Se 0.0000 0.0000 0.0000  4 Y 2.79
4 Y 0.5000 0.5000 0.0000  4 Se 2.79